VASP calculation (GGA-PBE) on a geometry-optimized SrAc2Co structure.

a b c (Å): 11.6421 11.6421 11.6421
angles (deg): 20.61 20.61 20.61
Element x y z (fractional)
Sr1 0.0000 0.0000 0.0000
Ac1 0.1207 0.1207 0.1207
Ac2 0.8793 0.8793 0.8793
Co1 0.5000 0.5000 0.5000

Uncorrected energy (eV/atom): -4.18
Polymorph energy (0 for the lowest one) (meV/atom): 98
Magnetization (μB per formula unit): 0.0
Energy of formation from the pure elements (meV/atom): 71
Space group: R-3m (166)